First-principles (GGA-PBE) data for a geometry-optimized AlGe2Pd6 structure, as listed in Alexandria.

Summary:
Energy relative to the elements (eV per formula unit): -4.119
N(E_F) (states/eV per cell): 2.66

Cell lengths 5.5499, 6.6909, 8.8649 Å; angles 90.00, 119.90, 90.00 degrees
Last column: nearest neighbours and their distance in Å.
Space group P2_1/c (No. 14)
Symmetry-distinct sites (fractional):
Al (0.0000, 0.0000, 0.0000) [2 per cell]  6 Pd 2.43-2.53
Ge (0.1959, 0.1121, 0.7577) [4 per cell]  7 Pd 2.47-2.62
Pd (0.1245, 0.1541, 0.4488) [4 per cell]  3 Ge 2.48-2.58, 1 Al 2.52
Pd (0.2918, 0.7184, 0.4199) [4 per cell]  1 Al 2.53, 2 Ge 2.55-2.62, 1 Pd 2.82
Pd (0.4326, 0.0595, 0.2682) [4 per cell]  1 Al 2.43, 2 Ge 2.47-2.54